# Tc4Os

A PBEsol-optimized structure of Tc4Os (meta-GGA SCAN, the Alexandria database).

- E_tot (eV/f.u.) = -211.9
- E_form (eV per atom) = 0.041

Cell and atoms, written as POSCAR:
```
Tc4Os
1.0
3.833 0.000 0.000
1.917 4.276 0.000
1.917 0.000 4.276
Tc Os
4 1
direct
0.201 0.402 0.196 Tc
0.799 0.598 0.804 Tc
0.397 0.804 0.402 Tc
0.603 0.196 0.598 Tc
0.000 0.000 0.000 Os
```



# AsRuCl2

A PBEsol-optimized structure of AsRuCl2 (meta-GGA SCAN, the Alexandria database).

- formation energy (no corrections) (meV/atom) = -193
- E_tot (eV/f.u.) = -71.7
- energy above the most stable polymorph in this dataset (eV per atom) = 0.2495

Cell and atoms, written as POSCAR:
```
AsRuCl2
1.0
-0.280 3.034 0.248
-3.241 -0.460 1.970
3.890 -0.161 6.364
Cl As Ru
2 1 1
direct
0.500 0.500 0.302 Cl
0.000 0.000 0.949 Cl
0.500 0.500 0.598 As
0.000 0.000 0.650 Ru
```



# Ru3Rh5

A PBEsol-optimized structure of Ru3Rh5 (meta-GGA SCAN, the Alexandria database).

- E_tot (eV/f.u.) = -272.9
- E_form (eV per atom) = 0.050

Cell and atoms, written as POSCAR:
```
Ru3Rh5
1.0
3.756 0.000 0.000
0.000 5.341 -0.003
0.000 -0.031 5.341
Rh Ru
5 3
direct
0.000 0.000 0.500 Rh
0.000 0.000 0.000 Rh
0.000 0.500 0.000 Rh
0.500 0.252 0.748 Rh
0.500 0.748 0.252 Rh
0.500 0.748 0.748 Ru
0.000 0.500 0.500 Ru
0.500 0.252 0.252 Ru
```



# SrPPbS2

A PBEsol-optimized structure of SrPPbS2 (meta-GGA SCAN, the Alexandria database).

- formation energy (no corrections) (meV/atom) = 328
- E_tot (eV/f.u.) = -126.1

Cell and atoms, written as POSCAR:
```
SrPPbS2
1.0
5.260 0.000 0.000
0.000 5.335 0.000
0.000 0.000 5.335
S Sr P Pb
2 1 1 1
direct
0.000 0.000 0.500 S
0.000 0.500 0.000 S
0.000 0.000 0.000 Sr
0.500 0.000 0.000 P
0.500 0.500 0.500 Pb
```



# MnZn2Ru

A PBEsol-optimized structure of MnZn2Ru (meta-GGA SCAN, the Alexandria database).

- E_tot (eV/f.u.) = -80.3
- E_form (eV per atom) = -0.039
- energy above the most stable polymorph in this dataset (eV per atom) = 0.1817

Cell and atoms, written as POSCAR:
```
MnZn2Ru
1.0
-1.056 -1.378 -2.126
2.533 -0.531 -0.913
0.116 -5.646 3.603
Zn Mn Ru
2 1 1
direct
0.000 0.000 0.998 Zn
0.500 0.500 0.264 Zn
0.000 0.000 0.509 Mn
0.500 0.500 0.728 Ru
```



# RbGdS2

A PBEsol-optimized structure of RbGdS2 (meta-GGA SCAN, the Alexandria database).

- formation energy (no corrections) (meV/atom) = -2088
- E_tot (eV/f.u.) = -107.2

Cell and atoms, written as POSCAR:
```
RbGdS2
1.0
-1.764 -2.316 2.832
2.262 -1.780 2.865
-0.677 4.693 6.330
Rb Gd S
1 1 2
direct
0.000 0.000 0.000 Rb
0.500 0.500 0.500 Gd
0.232 0.232 0.305 S
0.768 0.768 0.695 S
```



# SrRe2GeTe

A PBEsol-optimized structure of SrRe2GeTe (meta-GGA SCAN, the Alexandria database).

- formation energy (no corrections) (meV/atom) = 1802
- E_tot (eV/f.u.) = -211.8

Cell and atoms, written as POSCAR:
```
SrRe2GeTe
1.0
4.842 0.000 0.000
0.000 4.842 0.000
0.000 0.000 5.779
Ge Re Sr Te
1 2 1 1
direct
0.500 0.500 0.500 Ge
0.000 0.500 0.000 Re
0.500 0.000 0.000 Re
0.000 0.000 0.500 Sr
0.000 0.000 0.000 Te
```



# Dy5Si10Ir4

A PBEsol-optimized structure of Dy5Si10Ir4 (meta-GGA SCAN, the Alexandria database).

- formation energy (no corrections) (meV/atom) = -984
- E_tot (eV/f.u.) = -642.2

Cell and atoms, written as POSCAR:
```
Dy5Si10Ir4
1.0
-0.718 -1.434 3.907
-1.476 -11.577 -4.519
12.244 -2.134 1.467
Si Dy Ir
20 10 8
direct
0.000 0.434 0.934 Si
0.000 0.200 0.164 Si
0.500 0.158 0.000 Si
0.000 0.300 0.664 Si
0.500 0.000 0.158 Si
0.500 0.842 0.000 Si
0.500 0.500 0.342 Si
0.000 0.836 0.200 Si
0.000 0.934 0.566 Si
0.000 0.700 0.336 Si
0.000 0.800 0.836 Si
0.000 0.664 0.700 Si
0.500 0.000 0.842 Si
0.000 0.336 0.300 Si
0.000 0.066 0.434 Si
0.000 0.566 0.066 Si
0.500 0.500 0.658 Si
0.500 0.658 0.500 Si
0.000 0.164 0.800 Si
0.500 0.342 0.500 Si
0.500 0.115 0.615 Dy
0.500 0.825 0.675 Dy
0.000 0.500 0.500 Dy
0.500 0.885 0.385 Dy
0.500 0.385 0.115 Dy
0.500 0.675 0.175 Dy
0.500 0.325 0.825 Dy
0.500 0.615 0.885 Dy
0.500 0.175 0.325 Dy
0.000 0.000 0.000 Dy
0.000 0.745 0.520 Ir
0.000 0.020 0.245 Ir
0.000 0.255 0.480 Ir
0.000 0.980 0.755 Ir
0.000 0.755 0.020 Ir
0.000 0.480 0.745 Ir
0.000 0.520 0.255 Ir
0.000 0.245 0.980 Ir
```



# ZrCr2Br

A PBEsol-optimized structure of ZrCr2Br (meta-GGA SCAN, the Alexandria database).

- formation energy (no corrections) (meV/atom) = 267
- E_tot (eV/f.u.) = -85.9

Cell and atoms, written as POSCAR:
```
ZrCr2Br
1.0
-1.203 -1.713 2.284
-1.361 -2.950 -2.930
4.284 -2.417 0.443
Zr Br Cr
1 1 2
direct
0.500 0.000 0.500 Zr
0.000 0.500 0.500 Br
0.500 0.500 0.000 Cr
0.000 0.000 0.000 Cr
```



# Hg2PtW

A PBEsol-optimized structure of Hg2PtW (meta-GGA SCAN, the Alexandria database).

- E_tot (eV/f.u.) = -274.0
- E_form (eV per atom) = 0.547
- energy above the most stable polymorph in this dataset (eV per atom) = 0.0000

Cell and atoms, written as POSCAR:
```
Hg2PtW
1.0
2.941 0.000 0.000
1.471 2.547 0.000
1.471 0.849 9.274
Hg W Pt
2 1 1
direct
0.249 0.249 0.254 Hg
0.751 0.751 0.746 Hg
0.000 0.000 0.000 W
0.500 0.500 0.500 Pt
```



# TmIn2Sn

A PBEsol-optimized structure of TmIn2Sn (meta-GGA SCAN, the Alexandria database).

- E_tot (eV/f.u.) = -156.4
- E_form (eV per atom) = -0.457

Cell and atoms, written as POSCAR:
```
TmIn2Sn
1.0
4.430 0.000 0.000
0.000 4.430 0.000
0.000 0.000 4.811
Tm Sn In
1 1 2
direct
0.000 0.000 0.000 Tm
0.500 0.500 0.000 Sn
0.500 0.000 0.500 In
0.000 0.500 0.500 In
```



# K4CdSb

A PBEsol-optimized structure of K4CdSb (meta-GGA SCAN, the Alexandria database).

- formation energy (no corrections) (meV/atom) = 134
- E_tot (eV/f.u.) = -100.2

Cell and atoms, written as POSCAR:
```
K4CdSb
1.0
-4.739 0.114 5.003
-6.372 -2.319 -1.236
-2.136 -5.897 2.858
Sb Cd K
1 1 4
direct
0.750 0.750 0.750 Sb
0.000 0.000 0.000 Cd
0.376 0.376 0.376 K
0.376 0.871 0.376 K
0.871 0.376 0.376 K
0.376 0.376 0.871 K
```



# Pr2Ga3Cu

A PBEsol-optimized structure of Pr2Ga3Cu (meta-GGA SCAN, the Alexandria database).

- E_tot (eV/f.u.) = -154.9
- E_form (eV per atom) = -0.664

Cell and atoms, written as POSCAR:
```
Pr2Ga3Cu
1.0
4.368 0.000 0.000
-2.184 3.783 0.000
0.000 0.000 7.723
Pr Ga Cu
2 3 1
direct
0.667 0.333 0.737 Pr
0.667 0.333 0.266 Pr
0.000 0.000 0.033 Ga
0.333 0.667 0.969 Ga
0.333 0.667 0.512 Ga
0.000 0.000 0.484 Cu
```



# MgP2Pb

A PBEsol-optimized structure of MgP2Pb (meta-GGA SCAN, the Alexandria database).

- E_tot (eV/f.u.) = -100.5
- E_form (eV per atom) = 0.271

Cell and atoms, written as POSCAR:
```
MgP2Pb
1.0
-1.850 -0.192 -2.956
0.887 -4.683 -0.251
-3.949 -0.884 2.530
Pb P Mg
1 2 1
direct
0.500 0.500 0.500 Pb
0.000 0.000 0.500 P
0.000 0.500 0.000 P
0.500 0.000 0.000 Mg
```



# OsWCl2

A PBEsol-optimized structure of OsWCl2 (meta-GGA SCAN, the Alexandria database).

- formation energy (no corrections) (meV/atom) = 896
- E_tot (eV/f.u.) = -153.9

Cell and atoms, written as POSCAR:
```
OsWCl2
1.0
-2.805 0.239 -0.378
-1.777 -0.608 2.131
-1.140 9.128 3.547
W Cl Os
1 2 1
direct
0.000 0.000 0.000 W
0.271 0.271 0.188 Cl
0.729 0.729 0.812 Cl
0.500 0.500 0.500 Os
```



# Zn2IrSe

A PBEsol-optimized structure of Zn2IrSe (meta-GGA SCAN, the Alexandria database).

- formation energy (no corrections) (meV/atom) = 137
- E_tot (eV/f.u.) = -117.7

Cell and atoms, written as POSCAR:
```
Zn2IrSe
1.0
3.371 0.000 0.000
0.000 4.212 0.000
0.000 0.000 4.212
Ir Zn Se
1 2 1
direct
0.500 0.500 0.500 Ir
0.000 0.000 0.500 Zn
0.000 0.500 0.000 Zn
0.500 0.000 0.000 Se
```



# Sr2LaMn

A PBEsol-optimized structure of Sr2LaMn (meta-GGA SCAN, the Alexandria database).

- E_tot (eV/f.u.) = -104.6
- E_form (eV per atom) = 0.316
- energy above the most stable polymorph in this dataset (eV per atom) = 0.2356

Cell and atoms, written as POSCAR:
```
Sr2LaMn
1.0
4.923 0.000 0.000
0.000 4.923 0.000
0.000 0.000 5.613
Sr La Mn
2 1 1
direct
0.500 0.000 0.000 Sr
0.000 0.500 0.000 Sr
0.500 0.500 0.500 La
0.000 0.000 0.500 Mn
```



# NaSeCl2

A PBEsol-optimized structure of NaSeCl2 (meta-GGA SCAN, the Alexandria database).

- formation energy (no corrections) (meV/atom) = -103
- E_tot (eV/f.u.) = -40.7
- energy above the most stable polymorph in this dataset (eV per atom) = 0.4218

Cell and atoms, written as POSCAR:
```
NaSeCl2
1.0
3.382 0.000 0.000
1.691 2.929 0.000
1.691 0.976 9.339
Na Cl Se
1 2 1
direct
0.000 0.000 0.000 Na
0.912 0.912 0.264 Cl
0.088 0.088 0.736 Cl
0.500 0.500 0.500 Se
```



# Ge3Os2

A PBEsol-optimized structure of Ge3Os2 (meta-GGA SCAN, the Alexandria database).

- E_tot (eV/f.u.) = -201.7
- E_form (eV per atom) = -0.142
- energy above the most stable polymorph in this dataset (eV per atom) = 0.0000

Cell and atoms, written as POSCAR:
```
Ge3Os2
1.0
5.749 0.000 0.000
0.000 9.245 0.000
0.000 0.000 11.481
Ge Os
24 16
direct
0.102 0.894 0.632 Ge
0.590 0.066 0.179 Ge
0.910 0.566 0.679 Ge
0.410 0.434 0.679 Ge
0.898 0.106 0.368 Ge
0.410 0.934 0.821 Ge
0.090 0.434 0.321 Ge
0.590 0.566 0.321 Ge
0.043 0.787 0.927 Ge
0.910 0.066 0.821 Ge
0.957 0.713 0.427 Ge
0.898 0.606 0.132 Ge
0.602 0.106 0.632 Ge
0.398 0.394 0.132 Ge
0.457 0.287 0.427 Ge
0.398 0.894 0.368 Ge
0.602 0.606 0.868 Ge
0.043 0.287 0.573 Ge
0.543 0.713 0.573 Ge
0.090 0.934 0.179 Ge
0.457 0.787 0.073 Ge
0.543 0.213 0.927 Ge
0.102 0.394 0.868 Ge
0.957 0.213 0.073 Ge
0.761 0.814 0.754 Os
0.250 0.074 0.500 Os
0.750 0.926 0.500 Os
0.261 0.186 0.754 Os
0.250 0.574 0.000 Os
0.761 0.314 0.746 Os
0.739 0.314 0.254 Os
0.750 0.960 0.000 Os
0.239 0.686 0.254 Os
0.261 0.686 0.746 Os
0.750 0.426 0.000 Os
0.739 0.814 0.246 Os
0.750 0.460 0.500 Os
0.239 0.186 0.246 Os
0.250 0.040 0.000 Os
0.250 0.540 0.500 Os
```



# Ba3TaBi

A PBEsol-optimized structure of Ba3TaBi (meta-GGA SCAN, the Alexandria database).

- E_tot (eV/f.u.) = -260.8
- E_form (eV per atom) = 0.600

Cell and atoms, written as POSCAR:
```
Ba3TaBi
1.0
5.859 0.000 0.000
0.000 5.859 0.000
0.000 0.000 5.859
Bi Ba Ta
1 3 1
direct
0.500 0.500 0.500 Bi
0.000 0.000 0.500 Ba
0.000 0.500 0.000 Ba
0.500 0.000 0.000 Ba
0.000 0.000 0.000 Ta
```



# AsC2

A PBEsol-optimized structure of AsC2 (meta-GGA SCAN, the Alexandria database).

- E_tot (eV/f.u.) = -31.2
- E_form (eV per atom) = 3.050
- energy above the most stable polymorph in this dataset (eV per atom) = 2.0900

Cell and atoms, written as POSCAR:
```
AsC2
1.0
3.979 0.000 0.000
-1.989 3.446 0.000
0.000 0.000 4.276
C As
4 2
direct
0.000 0.000 0.500 C
0.333 0.667 0.750 C
0.667 0.333 0.250 C
0.000 0.000 0.000 C
0.333 0.667 0.250 As
0.667 0.333 0.750 As
```



# Li2CdCo

A PBEsol-optimized structure of Li2CdCo (meta-GGA SCAN, the Alexandria database).

- E_tot (eV/f.u.) = -52.2
- E_form (eV per atom) = 0.069

Cell and atoms, written as POSCAR:
```
Li2CdCo
1.0
2.675 0.016 0.000
-0.407 4.763 0.000
-1.134 -2.389 4.536
Cd Li Co
1 2 1
direct
0.000 0.500 0.000 Cd
0.000 0.000 0.500 Li
0.500 0.500 0.500 Li
0.500 0.000 0.000 Co
```



# LiSnBiN2

A PBEsol-optimized structure of LiSnBiN2 (meta-GGA SCAN, the Alexandria database).

- formation energy (no corrections) (meV/atom) = 1529
- E_tot (eV/f.u.) = -127.8

Cell and atoms, written as POSCAR:
```
LiSnBiN2
1.0
-1.636 -1.403 -3.851
4.041 0.138 -1.767
0.752 -4.606 1.358
N Bi Sn Li
2 1 1 1
direct
0.500 0.000 0.000 N
0.000 0.500 0.000 N
0.000 0.000 0.000 Bi
0.500 0.500 0.500 Sn
0.000 0.000 0.500 Li
```



# YTaTl

A PBEsol-optimized structure of YTaTl (meta-GGA SCAN, the Alexandria database).

- E_tot (eV/f.u.) = -166.1
- E_form (eV per atom) = 0.214
- energy above the most stable polymorph in this dataset (eV per atom) = 0.0245

Cell and atoms, written as POSCAR:
```
YTaTl
1.0
-2.168 1.453 -1.981
2.360 -0.669 -3.074
-2.458 -5.015 1.721
Y Ta Tl
1 1 1
direct
0.663 0.663 0.327 Y
0.989 0.989 0.978 Ta
0.348 0.348 0.695 Tl
```



# ScTeHI2

A PBEsol-optimized structure of ScTeHI2 (meta-GGA SCAN, the Alexandria database).

- E_tot (eV/f.u.) = -129.3

Cell and atoms, written as POSCAR:
```
ScTeHI2
1.0
5.515 0.000 0.000
0.000 5.662 0.000
0.000 0.000 5.662
I Te Sc H
2 1 1 1
direct
0.000 0.500 0.000 I
0.000 0.000 0.500 I
0.500 0.000 0.000 Te
0.000 0.000 0.000 Sc
0.500 0.500 0.500 H
```



One value per record, in order, for size of the total moment: 0.0 0.0 0.0 2.1 1.5 7.0 0.0 0.0 0.6 0.0 0.0 0.0 0.0 0.0 0.0 0.2 4.6 0.6 0.0 0.0 0.0 1.6 0.0 0.0 0.0 μB/f.u..